No. 1
The following is a DFT calculation (PBE) of crystalline Pa2TaSe8 at its relaxed geometry.

Structure (POSCAR):
```
Pa2TaSe8
1.0
7.036 0.000 0.000
-3.518 6.093 0.000
0.000 0.000 9.510
Pa Ta Se
2 1 8
Cartesian
0.000 4.062 1.553
3.518 2.031 7.957
0.000 0.000 4.755
0.000 1.995 3.209
-1.790 5.096 3.209
1.728 0.997 6.301
0.000 4.062 8.425
3.518 2.031 1.085
1.790 5.096 3.209
5.308 0.997 6.301
3.518 4.098 6.301
```

DOS at the Fermi energy ... 9.1 states/eV/cell
Calculated total energy ... -5.878 eV/atom

***

No. 2
The following is a DFT calculation (PBE) of crystalline PaTa2Se6 at its relaxed geometry.

Structure (POSCAR):
```
PaTa2Se6
1.0
6.493 -2.422 0.000
6.493 2.422 0.000
-5.242 0.000 7.537
Pa Ta Se
1 2 6
Cartesian
0.000 0.000 0.000
-1.145 0.000 4.185
8.888 0.000 3.352
-3.138 0.000 5.688
1.445 0.000 3.074
0.047 0.000 6.612
7.697 0.000 0.925
6.299 0.000 4.463
10.881 0.000 1.849
```

DOS at the Fermi energy ... 4.8 states/eV/cell
Calculated total energy ... -6.755 eV/atom

***

No. 3
The following is a DFT calculation (PBE) of crystalline PaTa2Se5 at its relaxed geometry.

Structure (POSCAR):
```
PaTa2Se5
1.0
2.842 -6.163 0.000
2.842 6.163 0.000
-0.180 0.000 6.936
Pa Ta Se
1 2 5
Cartesian
0.000 0.000 0.000
2.842 2.597 0.000
2.842 -2.597 0.000
0.945 2.067 1.794
0.945 -2.067 1.794
2.842 0.000 0.000
4.560 2.067 5.142
4.560 -2.067 5.142
```

DOS at the Fermi energy ... 4.2 states/eV/cell
Calculated total energy ... -7.061 eV/atom

***

No. 4
The following is a DFT calculation (PBE) of crystalline PaTa2Se3 at its relaxed geometry.

Structure (POSCAR):
```
PaTa2Se3
1.0
9.807 -1.756 0.000
9.807 1.756 0.000
-0.277 0.000 8.413
Pa Ta Se
2 4 6
Cartesian
3.143 0.000 3.801
16.195 0.000 4.612
3.933 0.000 0.340
8.796 0.000 5.406
10.542 0.000 3.007
15.406 0.000 8.073
1.465 0.000 1.254
4.668 0.000 6.345
7.973 0.000 2.912
11.365 0.000 5.501
14.670 0.000 2.068
17.873 0.000 7.159
```

DOS at the Fermi energy ... 11.5 states/eV/cell
Calculated total energy ... -7.735 eV/atom

***

No. 5
The following is a DFT calculation (PBE) of crystalline PaTaSe6 at its relaxed geometry.

Structure (POSCAR):
```
PaTaSe6
1.0
6.125 0.000 0.000
1.631 6.336 0.000
3.015 2.007 5.557
Pa Ta Se
1 1 6
Cartesian
0.000 0.000 0.000
5.385 4.171 2.779
3.891 5.677 4.435
3.726 2.243 2.941
3.916 5.141 0.980
6.855 3.202 4.577
7.044 6.100 2.616
6.880 2.666 1.122
```

DOS at the Fermi energy ... 0.9 states/eV/cell
Calculated total energy ... -5.914 eV/atom

***

No. 6
The following is a DFT calculation (PBE) of crystalline PaTa2Te2Se4 at its relaxed geometry.

Structure (POSCAR):
```
PaTa2Te2Se4
1.0
3.496 0.000 0.000
-1.748 3.028 0.000
0.000 0.000 23.141
Pa Ta Te Se
1 2 2 4
Cartesian
0.000 0.000 0.000
0.000 0.000 14.818
1.748 1.009 7.798
1.748 1.009 2.428
1.748 1.009 20.711
0.000 0.000 6.127
0.000 0.000 9.467
1.748 1.009 13.150
1.748 1.009 16.489
```

DOS at the Fermi energy ... 10.2 states/eV/cell
Calculated total energy ... -6.602 eV/atom

***

no.,formation energy (no corrections) (eV/atom),calculated density (g/cm3)
1,-0.54,5.2
2,-0.74,7.5
3,-0.73,6.7
4,-0.46,9.5
5,-0.63,6.8
6,-0.67,7.9